The following is a GGA-PBE calculation of a relaxed Al3Ag5 crystal, from the Alexandria database.

The uncorrected energy is -25.74 eV/f.u. The calculation puts the energy of formation from the pure elements at -0.032 eV/atom. Its magnetization is 0.000 μB per atom.

The space group is Pbam (No. 55) and the conventional cell measures 5.701, 11.301 and 4.199 Å, with angles of 90.00, 90.00 and 90.00 degrees. The distinct sites, in fractional coordinates, are Al at (0.000, 0.000, 0.000), Al at (0.215, 0.369, 0.500), Ag at (0.000, 0.500, 0.000), Ag at (0.039, 0.758, 0.000) and Ag at (0.217, 0.116, 0.500).